CePa2Tc after structural relaxation. Source: Alexandria, functional GGA-PBE.

ΔH_f (0 K) in meV per atom: -33.9
Volume in Å³ per atom: 23.062

Geometry as CIF:
```
data_CePa2Tc
_space_group_name_H-M_alt 'P 4/m m m'
_space_group_IT_number 123
_space_group_name_Hall '-P 4 2'
_cell_length_a 3.457
_cell_length_b 3.457
_cell_length_c 7.721
_cell_angle_alpha 90.00
_cell_angle_beta 90.00
_cell_angle_gamma 90.00
loop_
_atom_site_label
_atom_site_type_symbol
_atom_site_fract_x
_atom_site_fract_y
_atom_site_fract_z
Ce1 Ce 0.000 0.000 0.000
Pa1 Pa 0.500 0.500 0.283
Tc1 Tc 0.000 0.000 0.500
```


Dy2ScSbC after structural relaxation. Source: Alexandria, functional GGA-PBE.

Volume in Å³ per atom: 21.671
Formation energy from raw total energies in kcal/mol of atoms: -15.4

Geometry as CIF:
```
data_Dy2ScSbC
_space_group_name_H-M_alt 'P 4/m m m'
_space_group_IT_number 123
_space_group_name_Hall '-P 4 2'
_cell_length_a 4.884
_cell_length_b 4.884
_cell_length_c 4.542
_cell_angle_alpha 90.00
_cell_angle_beta 90.00
_cell_angle_gamma 90.00
loop_
_atom_site_label
_atom_site_type_symbol
_atom_site_fract_x
_atom_site_fract_y
_atom_site_fract_z
Dy1 Dy 0.000 0.500 0.000
Sc1 Sc 0.000 0.000 0.500
Sb1 Sb 0.500 0.500 0.500
C1 C 0.000 0.000 0.000
```


Zn2Au after structural relaxation. Source: Alexandria, functional GGA-PBE.

ΔH_f (0 K) in meV per atom: -94.9
Volume in Å³ per atom: 15.976

Geometry as CIF:
```
data_Zn2Au
_space_group_name_H-M_alt 'P -3 m 1'
_space_group_IT_number 164
_space_group_name_Hall '-P 3 2"'
_cell_length_a 4.4323
_cell_length_b 4.4323
_cell_length_c 2.8170
_cell_angle_alpha 90.00
_cell_angle_beta 90.00
_cell_angle_gamma 120.00
loop_
_atom_site_label
_atom_site_type_symbol
_atom_site_fract_x
_atom_site_fract_y
_atom_site_fract_z
Zn1 Zn 0.3333 0.6667 0.3257
Au1 Au 0.0000 0.0000 0.0000
```


Cd2CoSb after structural relaxation. Source: Alexandria, functional GGA-PBE.

Volume in Å³ per atom: 20.687
Formation energy from raw total energies in kcal/mol of atoms: 6.8

Geometry as CIF:
```
data_Cd2CoSb
_space_group_name_H-M_alt 'P 4/m m m'
_space_group_IT_number 123
_space_group_name_Hall '-P 4 2'
_cell_length_a 3.069
_cell_length_b 3.069
_cell_length_c 8.784
_cell_angle_alpha 90.00
_cell_angle_beta 90.00
_cell_angle_gamma 90.00
loop_
_atom_site_label
_atom_site_type_symbol
_atom_site_fract_x
_atom_site_fract_y
_atom_site_fract_z
Cd1 Cd 0.000 0.000 0.189
Co1 Co 0.500 0.500 0.000
Sb1 Sb 0.500 0.500 0.500
```


Sr2ZrBr after structural relaxation. Source: Alexandria, functional GGA-PBE.

Volume in Å³ per atom: 33.537
Formation energy from raw total energies in kcal/mol of atoms: -2.1

Geometry as CIF:
```
data_Sr2ZrBr
_space_group_name_H-M_alt 'C m m 2'
_space_group_IT_number 35
_space_group_name_Hall 'C 2 -2'
_cell_length_a 4.370
_cell_length_b 5.835
_cell_length_c 10.522
_cell_angle_alpha 90.00
_cell_angle_beta 90.00
_cell_angle_gamma 90.00
loop_
_atom_site_label
_atom_site_type_symbol
_atom_site_fract_x
_atom_site_fract_y
_atom_site_fract_z
Sr1 Sr 0.000 0.000 0.000
Sr2 Sr 0.000 0.500 0.331
Zr1 Zr 0.000 0.000 0.585
Br1 Br 0.000 0.500 0.773
```


Tb2Tm2Pb2C after structural relaxation. Source: Alexandria, functional GGA-PBE.

ΔH_f (0 K) in meV per atom: -598.5
Volume in Å³ per atom: 26.222

Geometry as CIF:
```
data_Tb2Tm2Pb2C
_space_group_name_H-M_alt 'I 4/m m m'
_space_group_IT_number 139
_space_group_name_Hall '-I 4 2'
_cell_length_a 4.769
_cell_length_b 4.769
_cell_length_c 16.142
_cell_angle_alpha 90.00
_cell_angle_beta 90.00
_cell_angle_gamma 90.00
loop_
_atom_site_label
_atom_site_type_symbol
_atom_site_fract_x
_atom_site_fract_y
_atom_site_fract_z
Tb1 Tb 0.000 0.000 0.157
Tm1 Tm 0.000 0.500 0.000
Pb1 Pb 0.000 0.000 0.359
C1 C 0.000 0.000 0.000
```


VNiTe2 after structural relaxation. Source: Alexandria, functional GGA-PBE.

Volume in Å³ per atom: 24.315
Formation energy from raw total energies in kcal/mol of atoms: -5.6

Geometry as CIF:
```
data_VNiTe2
_space_group_name_H-M_alt 'P 1 21/m 1'
_space_group_IT_number 11
_space_group_name_Hall '-P 2yb'
_cell_length_a 6.777
_cell_length_b 3.766
_cell_length_c 7.623
_cell_angle_alpha 90.00
_cell_angle_beta 90.52
_cell_angle_gamma 90.00
loop_
_atom_site_label
_atom_site_type_symbol
_atom_site_fract_x
_atom_site_fract_y
_atom_site_fract_z
V1 V 0.004 0.250 0.127
Ni1 Ni 0.001 0.750 0.372
Te1 Te 0.254 0.250 0.383
Te2 Te 0.272 0.250 0.873
```


PmPd2Pb after structural relaxation. Source: Alexandria, functional GGA-PBE.

ΔH_f (0 K) in meV per atom: -541.4
Volume in Å³ per atom: 22.260

Geometry as CIF:
```
data_PmPd2Pb
_space_group_name_H-M_alt 'P 4/m m m'
_space_group_IT_number 123
_space_group_name_Hall '-P 4 2'
_cell_length_a 3.638
_cell_length_b 3.638
_cell_length_c 6.727
_cell_angle_alpha 90.00
_cell_angle_beta 90.00
_cell_angle_gamma 90.00
loop_
_atom_site_label
_atom_site_type_symbol
_atom_site_fract_x
_atom_site_fract_y
_atom_site_fract_z
Pm1 Pm 0.000 0.000 0.000
Pd1 Pd 0.500 0.500 0.240
Pb1 Pb 0.000 0.000 0.500
```